[1]
A plane-wave DFT calculation with PBE was carried out for a relaxed structure of Na3Tl6Hg.

Cell lengths 3.4764, 6.0253, 27.9759 Å; angles 90.00, 98.57, 90.00 degrees
With the nearest neighbours (Å) after each atom.
Element x y z (fractional)
Tl 0.0800 0.2981 0.5988  2 Na 3.27-3.39, 2 Hg 3.39-3.53, 8 Tl 3.40-3.51
Tl 0.4103 0.1993 0.4017  1 Hg 3.27, 4 Na 3.38-3.49, 7 Tl 3.43-3.51
Tl 0.3111 0.8687 0.3010  6 Na 3.33-3.49, 5 Tl 3.40-3.48
Na 0.6935 0.8690 0.1976  9 Tl 3.33-3.49, 2 Na 3.48
Tl 0.5897 0.8007 0.5983  1 Hg 3.27, 4 Na 3.38-3.49, 7 Tl 3.43-3.51
Tl 0.9200 0.7019 0.4012  2 Na 3.27-3.39, 2 Hg 3.39-3.53, 8 Tl 3.40-3.51
Tl 0.4200 0.7981 0.9012  2 Na 3.27-3.39, 2 Hg 3.39-3.53, 8 Tl 3.40-3.51
Tl 0.8111 0.6313 0.8010  6 Na 3.33-3.49, 5 Tl 3.40-3.48
Na 0.1935 0.6310 0.6976  9 Tl 3.33-3.49, 2 Na 3.48
Tl 0.6889 0.1313 0.6990  6 Na 3.33-3.49, 5 Tl 3.40-3.48
Tl 0.1889 0.3687 0.1990  6 Na 3.33-3.49, 5 Tl 3.40-3.48
Na 0.8065 0.3690 0.3024  9 Tl 3.33-3.49, 2 Na 3.48
Na 0.0000 0.0000 0.5000  6 Tl 3.27-3.49, 2 Na 3.48, 4 Hg 3.48
Na 0.3065 0.1310 0.8024  9 Tl 3.33-3.49, 2 Na 3.48
Hg 0.5000 0.5000 0.5000  6 Tl 3.27-3.53, 2 Hg 3.48, 4 Na 3.48
Hg 0.0000 0.0000 0.0000  6 Tl 3.27-3.53, 2 Hg 3.48, 4 Na 3.48
Tl 0.0897 0.6993 0.0983  1 Hg 3.27, 4 Na 3.38-3.49, 7 Tl 3.43-3.51
Na 0.5000 0.5000 0.0000  6 Tl 3.27-3.49, 2 Na 3.48, 4 Hg 3.48
Tl 0.9103 0.3007 0.9017  1 Hg 3.27, 4 Na 3.38-3.49, 7 Tl 3.43-3.51
Tl 0.5800 0.2019 0.0988  2 Na 3.27-3.39, 2 Hg 3.39-3.53, 8 Tl 3.40-3.51

Output
For the calculated formation energy, the calculation gives -84 meV per atom. The crystal system is monoclinic. Its space-group type is P2_1/c. Its total magnetic moment is 0.00 Bohr magnetons per cell.

***

[2]
A plane-wave DFT calculation with PBE was carried out for a relaxed structure of Ta3PdW2.

Cell lengths 3.2719, 3.2719, 9.5699 Å; angles 90.00, 90.00, 90.00 degrees
With the nearest neighbours (Å) after each atom.
Element x y z (fractional)
Ta 0.0000 0.0000 0.3265  4 W 2.75, 4 Pd 2.85
Ta 0.0000 0.0000 0.6735  4 W 2.75, 4 Pd 2.85
W 0.5000 0.5000 0.1707  8 Ta 2.75-2.83
Ta 0.0000 0.0000 0.0000  8 W 2.83, 2 Ta 3.12
Pd 0.5000 0.5000 0.5000  8 Ta 2.85, 2 W 3.15
W 0.5000 0.5000 0.8293  8 Ta 2.75-2.83

Output
For the calculated formation energy, the calculation gives -119 meV per atom. The crystal system is tetragonal. Its space-group type is P4/mmm. Its total magnetic moment is 0.00 Bohr magnetons per cell.

***

[3]
A plane-wave DFT calculation with PBE was carried out for a relaxed structure of TbScCl4.

Cell lengths 6.6619, 6.5834, 8.9773 Å; angles 104.95, 103.70, 110.95 degrees
With the nearest neighbours (Å) after each atom.
Element x y z (fractional)
Cl 0.4358 0.7112 0.8881  2 Sc 2.67-2.89, 2 Tb 2.81-2.83
Cl 0.5642 0.2888 0.1119  2 Sc 2.67-2.89, 2 Tb 2.81-2.83
Sc 0.1515 0.9554 0.8942  5 Cl 2.52-2.67
Sc 0.8485 0.0446 0.1058  5 Cl 2.52-2.67
Tb 0.3012 0.5399 0.1250  6 Cl 2.60-2.83
Tb 0.6988 0.4601 0.8750  6 Cl 2.60-2.83
Cl 0.1467 0.4189 0.3440  1 Sc 2.52, 1 Tb 2.60
Cl 0.0899 0.8192 0.1405  2 Sc 2.57-2.66, 2 Tb 2.68-2.79
Cl 0.6998 0.9063 0.3207  1 Sc 2.59, 1 Tb 2.64
Cl 0.8533 0.5811 0.6560  1 Sc 2.52, 1 Tb 2.60
Cl 0.3002 0.0937 0.6793  1 Sc 2.59, 1 Tb 2.64
Cl 0.9101 0.1808 0.8595  2 Sc 2.57-2.66, 2 Tb 2.68-2.79

Output
For the raw formation energy, the calculation gives -1838 meV/atom. The crystal system is triclinic. Its space-group type is P-1. Its total magnetic moment is 0.00 Bohr magnetons per cell.

***

Copy entry 2 word for word.
A plane-wave DFT calculation with PBE was carried out for a relaxed structure of Ta3PdW2.

Cell lengths 3.2719, 3.2719, 9.5699 Å; angles 90.00, 90.00, 90.00 degrees
With the nearest neighbours (Å) after each atom.
Element x y z (fractional)
Ta 0.0000 0.0000 0.3265  4 W 2.75, 4 Pd 2.85
Ta 0.0000 0.0000 0.6735  4 W 2.75, 4 Pd 2.85
W 0.5000 0.5000 0.1707  8 Ta 2.75-2.83
Ta 0.0000 0.0000 0.0000  8 W 2.83, 2 Ta 3.12
Pd 0.5000 0.5000 0.5000  8 Ta 2.85, 2 W 3.15
W 0.5000 0.5000 0.8293  8 Ta 2.75-2.83

Output
For the calculated formation energy, the calculation gives -119 meV per atom. The crystal system is tetragonal. Its space-group type is P4/mmm. Its total magnetic moment is 0.00 Bohr magnetons per cell.